Here is a geometry-optimized ThZn2Ge2 structure from the Alexandria database. Energies are from PBE.

Properties
- symmetry = No. 63
- final energy (eV per atom) = -4.204
- volume (Å³/atom) = 20.0
- energy of formation (eV per atom) = -0.36

a b c (Å): 12.377 12.377 4.053
angles (deg): 90.00 90.00 161.23
Fractional coordinates of all 10 atoms:
Th (0.151, 0.849, 0.750)
Th (0.849, 0.151, 0.250)
Zn (0.036, 0.964, 0.250)
Zn (0.460, 0.540, 0.250)
Zn (0.540, 0.460, 0.750)
Zn (0.964, 0.036, 0.750)
Ge (0.250, 0.750, 0.250)
Ge (0.391, 0.609, 0.750)
Ge (0.609, 0.391, 0.250)
Ge (0.750, 0.250, 0.750)

=====

Here is a geometry-optimized ThZnGe structure from the Alexandria database. Energies are from PBE.

Properties
- symmetry = No. 119
- final energy (eV per atom) = -5.003
- volume (Å³/atom) = 21.9
- energy of formation (eV per atom) = -0.57

a b c (Å): 7.971 7.971 7.971
angles (deg): 149.30 149.30 43.98
Fractional coordinates of all 6 atoms:
Th (0.000, 0.000, 0.000)
Th (0.750, 0.250, 0.500)
Zn (0.168, 0.668, 0.500)
Zn (0.332, 0.832, 0.500)
Ge (0.415, 0.415, 0.000)
Ge (0.585, 0.585, 0.000)

=====

Here is a geometry-optimized Th4ZnGe structure from the Alexandria database. Energies are from PBE.

Properties
- symmetry = No. 124
- final energy (eV per atom) = -6.262
- volume (Å³/atom) = 27.5
- energy of formation (eV per atom) = -0.33

a b c (Å): 7.512 7.512 5.843
angles (deg): 90.00 90.00 90.00
Fractional coordinates of all 12 atoms:
Th (0.158, 0.338, 0.000)
Th (0.158, 0.662, 0.500)
Th (0.338, 0.158, 0.500)
Th (0.338, 0.842, 0.000)
Th (0.662, 0.158, 0.000)
Th (0.662, 0.842, 0.500)
Th (0.842, 0.338, 0.500)
Th (0.842, 0.662, 0.000)
Zn (0.500, 0.500, 0.250)
Zn (0.500, 0.500, 0.750)
Ge (0.000, 0.000, 0.250)
Ge (0.000, 0.000, 0.750)

=====

Summary of size of the total moment in μB per atom
0.000 0.000 0.000
(order as listed above)